Computed, not measured: a geometry-optimized MnTlCrO4 structure at the PBE with a Hubbard U level of DFT.

Unit cell a=5.235 b=5.437 c=7.660 alpha=90.00 beta=93.41 gamma=90.00
Space group P2_1/m (No. 11)
Asymmetric unit:
Mn: 0.155 0.250 0.473 x2
Tl: 0.203 0.750 0.134 x2
Cr: 0.362 0.750 0.645 x2
O: 0.106 0.512 0.650 x4
O: 0.347 0.250 0.233 x2
O: 0.478 0.750 0.428 x2

Properties
For the total energy, the calculation gives -6.329 eV/atom. The value obtained for the total magnetic moment is 7.96 μB per cell. For the calculated volume, the calculation gives 108.83 Å³/f.u.